[1]
VASP calculation (PBE-GGA) on a relaxed structure of MnReHg2.

The structure in POSCAR format:
```
MnReHg2
1.0
-2.061 2.061 4.143
2.061 -2.061 4.143
2.061 2.061 -4.143
Mn Re Hg
1 1 2
Direct
0.000 0.000 0.000
0.250 0.750 0.500
0.500 0.500 0.000
0.750 0.250 0.500
```

- energy above the lowest structure with this stoichiometry (meV/atom) = 413
- SG = No. 119

[2]
VASP calculation (PBE-GGA) on a relaxed structure of MnReHg2.

The structure in POSCAR format:
```
MnReHg2
1.0
-2.034 2.034 4.255
2.034 -2.034 4.255
2.034 2.034 -4.255
Mn Re Hg
1 1 2
Direct
0.000 0.000 0.000
0.500 0.500 0.000
0.250 0.750 0.500
0.750 0.250 0.500
```

- energy above the lowest structure with this stoichiometry (meV/atom) = 395
- SG = No. 139

[3]
VASP calculation (PBE-GGA) on a relaxed structure of MnReHg2.

The structure in POSCAR format:
```
MnReHg2
1.0
2.927 -4.191 0.000
2.927 4.191 0.000
0.000 0.000 2.876
Mn Re Hg
1 1 2
Direct
0.000 0.000 0.000
0.500 0.500 0.000
0.000 0.500 0.500
0.500 0.000 0.500
```

- energy above the lowest structure with this stoichiometry (meV/atom) = 301
- SG = No. 65

[4]
VASP calculation (PBE-GGA) on a relaxed structure of Mn2ReHg.

The structure in POSCAR format:
```
Mn2ReHg
1.0
4.389 -1.387 0.000
4.389 1.387 0.000
-0.864 0.000 4.933
Mn Re Hg
2 1 1
Direct
0.241 0.241 0.185
0.759 0.759 0.815
0.500 0.500 0.000
0.000 0.000 0.500
```

- calculated total energy (eV/atom) = -7.197
- SG = No. 12

Result set for DOS at the Fermi energy: 3.23; 3.67; 2.09; 3.65 states/eV per cell, one per record in the order listed.